First-principles (PBE) data for a relaxed structure of SiBrF, as listed in Alexandria.

Computed properties:
Volume ... 353.9 Å³ per cell
VASP energy ... -4.52 eV per atom

Cell: 12.7333 4.0722 6.8904 Å, 90.00 97.85 90.00°
Closest atoms and distances in Å follow each position.
Space group C2/m (No. 12)
Inequivalent atoms, fractional coordinates:
Si  0.2459  0.0000  0.4088 x4  1 F 1.62
Br  0.1230  0.5000  0.7735 x4  1 Si 2.22
F  0.1336  0.0000  0.2651 x4  1 Si 1.62



First-principles (PBE) data for a relaxed structure of K2Cd2NiH4, as listed in Alexandria.

Computed properties:
Volume ... 353.1 Å³ per cell
VASP energy ... -2.60 eV per atom

Cell: 6.6463 6.6463 7.9936 Å, 90.00 90.00 90.00°
Closest atoms and distances in Å follow each position.
Space group I4/mmm (No. 139)
Inequivalent atoms, fractional coordinates:
K  0.0000  0.5000  0.2500 x4  8 H 3.19, 4 Cd 3.37
Cd  0.0000  0.0000  0.1800 x4  1 Ni 2.56
Ni  0.0000  0.0000  0.5000 x2  4 H 1.55
H  0.1649  0.1649  0.5000 x8  1 Ni 1.55



First-principles (PBE) data for a relaxed structure of CsMn2Br6, as listed in Alexandria.

Computed properties:
Excess energy over the best structure of this formula in the dataset ... 0 meV/atom
Volume ... 333.9 Å³ per cell

Cell: 6.8705 6.8705 8.1671 Å, 90.00 90.00 120.00°
Closest atoms and distances in Å follow each position.
Space group P-31m (No. 162)
Inequivalent atoms, fractional coordinates:
Cs  0.0000  0.0000  0.0000 x1  6 Br 3.67
Mn  0.3333  0.6667  0.5000 x2  6 Br 2.62
Br  0.0000  0.3830  0.6859 x6  2 Mn 2.62



First-principles (PBE) data for a relaxed structure of Na3Ce2RuS6, as listed in Alexandria.

Computed properties:
Volume ... 522.9 Å³ per cell
VASP energy ... -5.50 eV per atom

Cell: 6.6464 11.5105 7.1905 Å, 90.00 108.09 90.00°
Closest atoms and distances in Å follow each position.
Space group C2/m (No. 12)
Inequivalent atoms, fractional coordinates:
Na  0.0000  0.0000  0.0000 x2  6 S 2.83-3.10
Na  0.0000  0.3323  0.0000 x4  6 S 2.84-3.07
Ce  0.0000  0.1666  0.5000 x4  6 S 2.78-2.79
Ru  0.0000  0.5000  0.5000 x2  6 S 2.51-2.52
S  0.2252  0.3495  0.7235 x8  1 Ru 2.52, 2 Ce 2.79
S  0.2270  0.5000  0.2793 x4  1 Ru 2.51, 2 Ce 2.78



First-principles (PBE) data for a relaxed structure of K3U2AgTe6, as listed in Alexandria.

Computed properties:
Volume ... 861.1 Å³ per cell
VASP energy ... -4.73 eV per atom

Cell: 7.7948 13.4879 8.5899 Å, 90.00 107.54 90.00°
Closest atoms and distances in Å follow each position.
Space group C2/m (No. 12)
Inequivalent atoms, fractional coordinates:
K  0.0000  0.0000  0.0000 x2  6 Te 3.50-3.56
K  0.0000  0.3374  0.0000 x4  6 Te 3.53-3.56
U  0.0000  0.1672  0.5000 x4  6 Te 3.07
Ag  0.0000  0.5000  0.5000 x2  6 Te 3.14-3.15
Te  0.2275  0.0000  0.7053 x4  2 U 3.07, 1 Ag 3.14
Te  0.2396  0.3295  0.7067 x8  2 U 3.07, 1 Ag 3.15



First-principles (PBE) data for a relaxed structure of Sr3Pu3ReN8, as listed in Alexandria.

Computed properties:
Volume ... 721.1 Å³ per cell
VASP energy ... -9.30 eV per atom

Cell: 6.8184 6.8184 17.9113 Å, 90.00 90.00 120.00°
Closest atoms and distances in Å follow each position.
Space group R-3m (No. 166, hexagonal axes)
Inequivalent atoms, fractional coordinates:
Sr  0.0000  0.5000  0.0000 x9  6 N 2.64-2.66
Pu  0.0000  0.5000  0.5000 x9  6 N 2.32-2.34
Re  0.0000  0.0000  0.5000 x3  6 N 2.10
N  0.0000  0.0000  0.2351 x6  3 Pu 2.32
N  0.0299  0.5150  0.2282 x18  1 Re 2.10, 2 Pu 2.34